Below is crystalline AlIrN2 at its relaxed geometry, with properties calculated at the PBE-GGA level.

The crystal system is monoclinic. The calculation puts the total magnetization at 0.00 μB/cell. For the electronic total energy, the calculation gives -7.1511 eV per atom.

It has space group C2 (No. 5), with a = 8.839 Å, b = 4.587 Å, c = 5.262 Å, α = 90.00°, β = 97.79° and γ = 90.00°. The inequivalent atoms are Al at (0.163, 0.000, 0.371), Ir at (0.020, 0.417, 0.751), N at (0.081, 0.110, 0.029) and N at (0.144, 0.641, 0.513).